Li3Mn3TeO8 (GGA+U, optimized geometry); symmetry = P2/c, No. 13; distance to the lowest polymorph of the same formula = 0.003 eV/atom; VASP energy = -6.374 eV/atom
1.0
-5.830 0.697 1.850
1.310 -3.181 5.330
2.453 7.409 3.820
Mn O Li Te
6 16 6 2
Direct
0.750 0.250 0.250
0.500 0.000 0.500
0.750 0.750 0.250
0.250 0.750 0.750
0.000 0.500 0.000
0.250 0.250 0.750
0.462 0.975 0.744
0.724 0.279 0.505
0.276 0.279 0.495
0.513 0.500 0.725
0.224 0.221 0.005
0.962 0.525 0.244
0.726 0.717 0.491
0.487 0.500 0.275
0.776 0.221 0.995
0.538 0.975 0.256
0.274 0.717 0.508
0.987 0.000 0.775
0.013 0.000 0.225
0.037 0.525 0.756
0.774 0.783 0.009
0.226 0.783 0.992
0.000 0.506 0.500
0.500 0.994 0.000
0.250 0.750 0.250
0.250 0.250 0.250
0.750 0.750 0.750
0.750 0.250 0.750
0.000 0.003 0.000
0.500 0.497 0.500